[1]
Entry from Alexandria: Sm2PdSe3 after structural relaxation (GGA-PBE).

a = 4.1597 Å, b = 11.4910 Å, c = 11.7813 Å
α = 90.00°, β = 90.00°, γ = 90.00°
Element x y z (fractional)
Sm  0.2500  0.6882  0.4737
Sm  0.7500  0.3118  0.5263
Sm  0.7500  0.1882  0.0263
Sm  0.2500  0.8118  0.9737
Sm  0.2500  0.9884  0.3010
Sm  0.7500  0.0116  0.6990
Sm  0.7500  0.4884  0.1990
Sm  0.2500  0.5116  0.8010
Pd  0.2500  0.2531  0.2167
Pd  0.7500  0.7469  0.7833
Pd  0.7500  0.7531  0.2833
Pd  0.2500  0.2469  0.7167
Se  0.2500  0.3777  0.0411
Se  0.7500  0.6223  0.9589
Se  0.7500  0.8777  0.4589
Se  0.2500  0.1223  0.5411
Se  0.2500  0.6741  0.1955
Se  0.7500  0.3259  0.8045
Se  0.7500  0.1741  0.3045
Se  0.2500  0.8259  0.6955
Se  0.2500  0.4395  0.3844
Se  0.7500  0.5605  0.6156
Se  0.7500  0.9395  0.1156
Se  0.2500  0.0605  0.8844

Formation energy (no corrections), meV per atom: -1552
Total magnetization, μB per atom: 0.000

=====

[2]
Entry from Alexandria: SrGa2TcHg after structural relaxation (GGA-PBE).

a = 4.8593 Å, b = 4.8593 Å, c = 5.3198 Å
α = 90.00°, β = 90.00°, γ = 90.00°
Element x y z (fractional)
Sr  0.5000  0.5000  0.5000
Hg  0.0000  0.0000  0.5000
Ga  0.0000  0.5000  0.0000
Ga  0.5000  0.0000  0.0000
Tc  0.0000  0.0000  0.0000

Energy of formation, eV/atom: -0.19
Total magnetization, μB per atom: 0.000

=====

[3]
Entry from Alexandria: Tb3Pr2HoSe6 after structural relaxation (GGA-PBE).

a = 4.1212 Å, b = 8.3561 Å, c = 9.2697 Å
α = 103.13°, β = 102.84°, γ = 90.00°
Element x y z (fractional)
Tb  0.5000  0.5000  0.0000
Tb  0.8288  0.1661  0.6577
Tb  0.1712  0.8339  0.3423
Pr  0.8313  0.6635  0.6625
Pr  0.1687  0.3365  0.3375
Ho  0.5000  0.0000  0.0000
Se  0.3366  0.9283  0.6731
Se  0.6621  0.5917  0.3243
Se  0.6634  0.0717  0.3269
Se  0.9957  0.2447  0.9914
Se  0.0043  0.7553  0.0086
Se  0.3379  0.4083  0.6757

Formation energy (no corrections), meV per atom: -1787
Total magnetization, μB per atom: 0.000